# 1
The following is a GGA-PBE calculation of a relaxed AcTb4Tm6 crystal, from Alexandria.

Summary:
* SG: No. 63
* size of the total moment: 0.0 μB/f.u.
* total energy: -4.362 eV per atom
* N(E_F): 1.62 states/eV per atom

abc: 5.694 5.652 25.524
angles: 90.00 90.00 120.25
Sites, in units of the cell vectors:
1 Ac 0.826 0.653 0.250
2 Ac 0.174 0.347 0.750
3 Tb 0.835 0.671 0.542
4 Tb 0.492 0.985 0.122
5 Tb 0.165 0.329 0.458
6 Tb 0.508 0.015 0.878
7 Tb 0.835 0.671 0.958
8 Tb 0.165 0.329 0.042
9 Tb 0.508 0.015 0.622
10 Tb 0.492 0.985 0.378
11 Tm 0.500 0.000 0.000
12 Tm 0.500 0.000 0.500
13 Tm 0.160 0.319 0.320
14 Tm 0.840 0.681 0.680
15 Tm 0.840 0.681 0.820
16 Tm 0.160 0.319 0.180
17 Tm 0.828 0.655 0.401
18 Tm 0.172 0.345 0.599
19 Tm 0.172 0.345 0.901
20 Tm 0.828 0.655 0.099
21 Tm 0.492 0.984 0.250
22 Tm 0.508 0.016 0.750


# 2
The following is a GGA-PBE calculation of a relaxed Na2GeS3 crystal, from Alexandria.

Summary:
* SG: No. 15
* size of the total moment: 0.0 μB/f.u.
* total energy: -4.057 eV per atom
* N(E_F): 0.00 states/eV per atom
* raw formation energy: -0.784 eV per atom

abc: 6.575 7.190 14.269
angles: 89.13 88.11 62.79
Sites, in units of the cell vectors:
1 Na 0.553 0.422 0.354
2 Na 0.024 0.422 0.146
3 Na 0.447 0.578 0.646
4 Na 0.976 0.578 0.854
5 Na 0.351 0.794 0.067
6 Na 0.855 0.794 0.433
7 Na 0.649 0.206 0.933
8 Na 0.145 0.206 0.567
9 Ge 0.722 0.026 0.159
10 Ge 0.252 0.026 0.341
11 Ge 0.278 0.974 0.841
12 Ge 0.748 0.974 0.659
13 S 0.581 0.839 0.250
14 S 0.419 0.161 0.750
15 S 0.475 0.339 0.118
16 S 0.186 0.339 0.382
17 S 0.525 0.661 0.882
18 S 0.814 0.661 0.618
19 S 0.709 0.203 0.550
20 S 0.088 0.203 0.950
21 S 0.291 0.797 0.450
22 S 0.912 0.797 0.050
23 S 0.930 0.140 0.250
24 S 0.070 0.860 0.750


# 3
The following is a GGA-PBE calculation of a relaxed NaLa2YPb crystal, from Alexandria.

Summary:
* SG: No. 123
* size of the total moment: 0.0 μB/f.u.
* total energy: -3.830 eV per atom
* N(E_F): 1.01 states/eV per atom

abc: 5.968 5.924 5.968
angles: 90.00 90.00 90.00
Sites, in units of the cell vectors:
1 Pb 0.000 0.500 0.000
2 Y 0.000 0.000 0.000
3 Na 0.500 0.500 0.500
4 La 0.000 0.000 0.500
5 La 0.500 0.000 0.000


Question: Among the records above, which one has the lowest N(E_F)?
Answer: Na2GeS3


Question: Look up the total energy of the first one.
Answer: -4.362 eV per atom